No. 1
# PBE Sm4Cd3, relaxed
data_Sm4Cd3
_cell_length_a 14.4425
_cell_length_b 14.4425
_cell_length_c 6.6163
_cell_angle_alpha 90.00
_cell_angle_beta 90.00
_cell_angle_gamma 120.00
_symmetry_space_group_name_H-M 'R -3'
_symmetry_Int_Tables_number 148
_symmetry_space_group_name_Hall '-R 3'
loop_
_atom_site_label
_atom_site_type_symbol
_atom_site_fract_x
_atom_site_fract_y
_atom_site_fract_z
Sm1 Sm 0.0000 0.0000 0.0000
Sm2 Sm 0.0000 0.0000 0.5000
Sm3 Sm 0.0499 0.8033 0.1733
Cd1 Cd 0.0489 0.8171 0.6801
# Offset from the most stable computed form ... 0.0 meV/atom
# Total DFT energy (no corrections) ... -139.5 eV/cell
# V ... 1195.2 Å³/cell
# Formation energy from the elements ... -0.233 eV/atom


No. 2
# PBE TaPt4Br, relaxed
data_TaPt4Br
_cell_length_a 7.5155
_cell_length_b 7.5155
_cell_length_c 7.5155
_cell_angle_alpha 90.00
_cell_angle_beta 90.00
_cell_angle_gamma 90.00
_symmetry_space_group_name_H-M 'F -4 3 m'
_symmetry_Int_Tables_number 216
_symmetry_space_group_name_Hall 'F -4 2 3'
loop_
_atom_site_label
_atom_site_type_symbol
_atom_site_fract_x
_atom_site_fract_y
_atom_site_fract_z
Ta1 Ta 0.0000 0.0000 0.0000
Pt1 Pt 0.1254 0.1254 0.3746
Br1 Br 0.2500 0.2500 0.7500
# Formation energy from raw total energies ... 0.2203 eV per atom
# Total DFT energy (no corrections) ... -145.5 eV/cell
# V ... 424.5 Å³/cell


No. 3
# PBE CaBrCl, relaxed
data_CaBrCl
_cell_length_a 4.2159
_cell_length_b 7.3006
_cell_length_c 7.8560
_cell_angle_alpha 64.63
_cell_angle_beta 74.91
_cell_angle_gamma 90.00
_symmetry_space_group_name_H-M 'P -1'
_symmetry_Int_Tables_number 2
_symmetry_space_group_name_Hall '-P 1'
loop_
_atom_site_label
_atom_site_type_symbol
_atom_site_fract_x
_atom_site_fract_y
_atom_site_fract_z
Ca1 Ca 0.2493 0.2439 0.0012
Br1 Br 0.1369 0.4748 0.2331
Cl1 Cl 0.3481 0.0083 0.7983
# Formation energy from raw total energies ... -2.2150 eV per atom
# Total DFT energy (no corrections) ... -24.3 eV/cell
# V ... 209.2 Å³/cell


No. 4
# PBE AsC2I, relaxed
data_AsC2I
_cell_length_a 5.6196
_cell_length_b 5.6196
_cell_length_c 8.1932
_cell_angle_alpha 90.00
_cell_angle_beta 90.00
_cell_angle_gamma 90.00
_symmetry_space_group_name_H-M 'I -4 2 d'
_symmetry_Int_Tables_number 122
_symmetry_space_group_name_Hall 'I -4 2bw'
loop_
_atom_site_label
_atom_site_type_symbol
_atom_site_fract_x
_atom_site_fract_y
_atom_site_fract_z
As1 As 0.0000 0.0000 0.0000
C1 C 0.1668 0.2500 0.1250
I1 I 0.0000 0.0000 0.5000
# Formation energy from raw total energies ... 1.8732 eV per atom
# Offset from the most stable computed form ... 0.0 meV/atom
# Total DFT energy (no corrections) ... -68.6 eV/cell
# V ... 258.7 Å³/cell


No. 5
# PBE Eu3MgPt, relaxed
data_Eu3MgPt
_cell_length_a 5.7248
_cell_length_b 5.7248
_cell_length_c 5.7248
_cell_angle_alpha 90.00
_cell_angle_beta 90.00
_cell_angle_gamma 90.00
_symmetry_space_group_name_H-M 'P m -3 m'
_symmetry_Int_Tables_number 221
_symmetry_space_group_name_Hall '-P 4 2 3'
loop_
_atom_site_label
_atom_site_type_symbol
_atom_site_fract_x
_atom_site_fract_y
_atom_site_fract_z
Eu1 Eu 0.0000 0.0000 0.5000
Mg1 Mg 0.5000 0.5000 0.5000
Pt1 Pt 0.0000 0.0000 0.0000
# Total DFT energy (no corrections) ... -40.4 eV/cell
# V ... 187.6 Å³/cell
# Formation energy from the elements ... -0.395 eV/atom


No. 6
# PBE Rb2Tl7, relaxed
data_Rb2Tl7
_cell_length_a 6.8429
_cell_length_b 6.8429
_cell_length_c 48.7630
_cell_angle_alpha 90.00
_cell_angle_beta 90.00
_cell_angle_gamma 120.00
_symmetry_space_group_name_H-M 'R -3 m'
_symmetry_Int_Tables_number 166
_symmetry_space_group_name_Hall '-R 3 2"'
loop_
_atom_site_label
_atom_site_type_symbol
_atom_site_fract_x
_atom_site_fract_y
_atom_site_fract_z
Rb1 Rb 0.0000 0.0000 0.0525
Rb2 Rb 0.0000 0.0000 0.1501
Tl1 Tl 0.0000 0.0000 0.2776
Tl2 Tl 0.0000 0.0000 0.3901
Tl3 Tl 0.0000 0.0000 0.5000
Tl4 Tl 0.0000 0.5000 0.0000
Tl5 Tl 0.0026 0.5013 0.8889
# Total DFT energy (no corrections) ... -113.8 eV/cell
# V ... 1977.4 Å³/cell
# Formation energy from the elements ... -0.052 eV/atom